La3BeCr PBEsol relaxed; energy of formation from the pure elements = 0.58 eV per atom; spin magnetization = 0.00 μB per formula unit
1.0
-0.237 0.416 -5.102
-4.962 -1.273 0.127
-1.257 4.946 0.462
La Be Cr
3 1 1
Cartesian
-0.118 0.208 -2.551
-2.481 -0.636 0.063
-0.628 2.473 0.231
-3.228 2.045 -2.257
0.000 0.000 0.000